(1)
{"formula": "DyTl2InS4", "functional": "PBE", "state": "relaxed", "e_above_lowest_polymorph_mev_per_atom": 0, "formation_energy_uncorrected_mev_per_atom": -921, "cell": [[8.340, -0.037, -0.056], [-0.043, 8.340, -0.056], [-4.113, -4.115, 5.925]], "species": ["Dy", "Dy", "Tl", "Tl", "Tl", "Tl", "In", "In", "S", "S", "S", "S", "S", "S", "S", "S"], "frac_coords": [[0.000, 0.500, 0.000], [0.000, 0.500, 0.500], [0.500, 0.000, 0.000], [0.500, 0.000, 0.500], [0.000, 0.000, 0.500], [0.500, 0.500, 0.000], [0.500, 0.500, 0.500], [0.000, 0.000, 0.000], [0.203, 0.736, 0.970], [0.764, 0.297, 0.530], [0.236, 0.703, 0.470], [0.797, 0.264, 0.030], [0.764, 0.736, 0.965], [0.764, 0.736, 0.535], [0.236, 0.264, 0.465], [0.236, 0.264, 0.035]]}

(2)
{"formula": "Sc5Tl2Pt", "functional": "PBE", "state": "relaxed", "e_form_mev_per_atom": -508, "cell": [[4.604, 0.000, 0.000], [0.000, 6.603, 0.000], [0.000, 0.000, 11.880]], "species": ["Sc", "Sc", "Sc", "Sc", "Sc", "Sc", "Sc", "Sc", "Sc", "Sc", "Tl", "Tl", "Tl", "Tl", "Pt", "Pt"], "frac_coords": [[0.000, 0.000, 0.500], [0.000, 0.500, 0.000], [0.000, 0.872, 0.217], [0.000, 0.128, 0.783], [0.000, 0.628, 0.717], [0.000, 0.372, 0.283], [0.500, 0.674, 0.417], [0.500, 0.326, 0.583], [0.500, 0.826, 0.917], [0.500, 0.174, 0.083], [0.500, 0.604, 0.162], [0.500, 0.396, 0.838], [0.500, 0.896, 0.662], [0.500, 0.104, 0.338], [0.000, 0.500, 0.500], [0.000, 0.000, 0.000]]}

Number 1: M_tot 0.0 μB/f.u.. Number 2: M_tot 0.0 μB/f.u..